(1)
Entry from Alexandria via LeMat-Bulk: a relaxed Zn2TcPb crystal (GGA-PBE).

Cell: 6.4140 4.8445 3.2284 Å, 90.02 59.74 119.61°
Last column: magnetic moment on the atom in μB.
Positions (direct):
Zn: 0.5000 0.0000 0.5000  -0.01
Pb: 0.0000 0.5000 0.5000  0.00
Zn: 0.0000 0.0000 0.0000  -0.01
Tc: 0.5000 0.5000 0.0000  0.86

## Properties
Calculated total energy = -3.72 eV per atom
ΔH_f (0 K) = 0.4390 eV/atom

(2)
Entry from Alexandria via LeMat-Bulk: a relaxed ZnTc2Pb crystal (GGA-PBE).

Cell: 4.0171 4.0171 9.9231 Å, 78.32 78.32 90.00°
Positions (direct):
Pb: 0.0000 0.0000 0.0000
Tc: 0.2118 0.6250 0.2500
Tc: 0.3750 0.4618 0.7500
Pb: 0.7500 0.2500 0.5000
Tc: 0.5382 0.1250 0.2500
Tc: 0.8750 0.7882 0.7500
Zn: 0.5000 0.5000 0.0000
Zn: 0.2500 0.7500 0.5000

## Properties
Calculated total energy = -5.83 eV per atom
ΔH_f (0 K) = 0.5978 eV/atom
Energy relative to the lowest polymorph listed for this composition = 1.62 eV per formula unit

(3)
Entry from Alexandria via LeMat-Bulk: a relaxed ZnTc2Pb crystal (GGA-PBE).

Cell: 4.8219 4.8219 4.8219 Å, 128.47 128.47 75.86°
Positions (direct):
Pb: 0.7500 0.2500 0.5000
Tc: 0.0000 0.0000 0.0000
Zn: 0.5000 0.5000 0.0000
Tc: 0.2500 0.7500 0.5000

## Properties
Calculated total energy = -5.86 eV per atom
ΔH_f (0 K) = 0.5696 eV/atom
Energy relative to the lowest polymorph listed for this composition = 1.51 eV per formula unit

(4)
Entry from Alexandria via LeMat-Bulk: a relaxed Zn2TcPb crystal (GGA-PBE).

Cell: 5.4386 5.4386 4.3526 Å, 66.47 66.47 36.72°
Positions (direct):
Pb: 0.7500 0.7500 0.7500
Zn: 0.9822 0.9822 0.0178
Zn: 0.5178 0.5178 0.4822
Tc: 0.2500 0.2500 0.2500

## Properties
Calculated total energy = -3.83 eV per atom
ΔH_f (0 K) = 0.3305 eV/atom

(5)
Entry from Alexandria via LeMat-Bulk: a relaxed ZnTc2Pb crystal (GGA-PBE).

Cell: 9.6668 9.6668 9.6668 Å, 17.63 17.63 17.63°
Positions (direct):
Pb: 0.7462 0.7462 0.7462
Tc: 0.2531 0.2531 0.2531
Tc: 0.9889 0.9889 0.9889
Zn: 0.5118 0.5118 0.5118

## Properties
Calculated total energy = -6.08 eV per atom
ΔH_f (0 K) = 0.3482 eV/atom
Energy relative to the lowest polymorph listed for this composition = 0.62 eV per formula unit

(6)
Entry from Alexandria via LeMat-Bulk: a relaxed ZnTc2Pb crystal (GGA-PBE).

Cell: 4.5570 4.5570 4.5570 Å, 60.00 60.00 60.00°
Last column: magnetic moment on the atom in μB.
Positions (direct):
Tc: 0.7500 0.7500 0.7500  1.06
Pb: 0.5000 0.5000 0.5000  -0.02
Tc: 0.2500 0.2500 0.2500  1.06
Zn: 0.0000 0.0000 0.0000  0.00

## Properties
Calculated total energy = -5.83 eV per atom
ΔH_f (0 K) = 0.5980 eV/atom
Energy relative to the lowest polymorph listed for this composition = 1.62 eV per formula unit

(7)
Entry from Alexandria via LeMat-Bulk: a relaxed ZnTc2Pb crystal (GGA-PBE).

Cell: 5.0590 5.3667 2.9855 Å, 76.37 84.83 116.50°
Positions (direct):
Pb: 0.5000 0.5000 0.0000
Tc: 0.5000 0.0000 0.5000
Tc: 0.0000 0.0000 0.0000
Zn: 0.0000 0.5000 0.5000

## Properties
Calculated total energy = -5.79 eV per atom
ΔH_f (0 K) = 0.6392 eV/atom
Energy relative to the lowest polymorph listed for this composition = 1.79 eV per formula unit

(8)
Entry from Alexandria via LeMat-Bulk: a relaxed Zn2TcPb crystal (GGA-PBE).

Cell: 7.6519 7.6519 6.0566 Å, 50.82 50.82 90.00°
Last column: magnetic moment on the atom in μB.
Positions (direct):
Zn: 0.8750 0.8318 0.7500  0.00
Tc: 0.2500 0.7500 0.5000  0.93
Pb: 0.0000 0.0000 0.0000  -0.01
Tc: 0.5000 0.5000 0.0000  0.93
Pb: 0.7500 0.2500 0.5000  -0.01
Zn: 0.3750 0.4182 0.7500  0.00
Zn: 0.5818 0.1250 0.2500  0.00
Zn: 0.1682 0.6250 0.2500  0.00

## Properties
Calculated total energy = -3.60 eV per atom
ΔH_f (0 K) = 0.5573 eV/atom